# SrCd2CoF8

A relaxed SrCd2CoF8 crystal (PBE with a Hubbard U, the Alexandria database).

Cell lengths 4.0054, 5.4621, 7.5743 Å; angles 89.92, 89.99, 87.10 degrees
Closest atoms and distances in Å follow each position.
Positions (direct):
Sr 0.0000 0.0000 0.0000  8 F 2.43-2.51
Cd 0.4996 0.4998 0.2647  8 F 2.31-2.48
Cd 0.5004 0.5002 0.7353  8 F 2.31-2.48
Co 0.0000 0.0000 0.5000  6 F 2.16-2.17
F 0.0282 0.2452 0.2765  1 Co 2.16, 1 Cd 2.40
F 0.0281 0.2470 0.7236  1 Co 2.17, 1 Cd 2.40
F 0.4537 0.7689 0.4999  1 Co 2.16, 2 Cd 2.31
F 0.4938 0.2644 0.0001  2 Cd 2.38, 2 Sr 2.43-2.51, 1 F 2.58
F 0.5062 0.7356 0.9999  2 Cd 2.38, 2 Sr 2.43-2.51, 1 F 2.58
F 0.5463 0.2311 0.5001  1 Co 2.16, 2 Cd 2.31
F 0.9719 0.7530 0.2764  1 Co 2.17, 1 Cd 2.40
F 0.9718 0.7548 0.7235  1 Co 2.16, 1 Cd 2.40

Magnetization (μB/cell): 3.00
E (eV/atom): -4.5349